1.
# Li4Nb2Fe3O10, relaxed, DFT GGA-PBEsol
data_Li4Nb2Fe3O10
_chemical_formula_sum 'Li4 Nb2 Fe3 O10'
_symmetry_space_group_name_H-M 'P -1'
_symmetry_Int_Tables_number 2
_symmetry_space_group_name_Hall '-P 1'
_cell_length_a 5.122
_cell_length_b 5.154
_cell_length_c 7.955
_cell_angle_alpha 101.98
_cell_angle_beta 107.94
_cell_angle_gamma 101.03
loop_
_atom_site_label
_atom_site_type_symbol
_atom_site_fract_x
_atom_site_fract_y
_atom_site_fract_z
Li1 Li 0.125 0.044 0.217
Li2 Li 0.347 0.982 0.607
Nb1 Nb 0.088 0.466 0.695
Fe1 Fe 0.312 0.501 0.085
Fe2 Fe 0.500 0.000 0.000
O1 O 0.067 0.270 0.448
O2 O 0.091 0.732 0.934
O3 O 0.273 0.759 0.331
O4 O 0.287 0.228 0.833
O5 O 0.490 0.739 0.769
# formation energy without anion corrections: -1.887 eV/atom

2.
# Li2NbFe3O8, relaxed, DFT GGA-PBEsol
data_Li2NbFe3O8
_chemical_formula_sum 'Li6 Nb3 Fe9 O24'
_symmetry_space_group_name_H-M 'R -3 m'
_symmetry_Int_Tables_number 166
_symmetry_space_group_name_Hall '-R 3 2"'
_cell_length_a 5.7531
_cell_length_b 5.7531
_cell_length_c 14.0106
_cell_angle_alpha 90.00
_cell_angle_beta 90.00
_cell_angle_gamma 120.00
loop_
_atom_site_label
_atom_site_type_symbol
_atom_site_fract_x
_atom_site_fract_y
_atom_site_fract_z
Li1 Li 0.0000 0.0000 0.1241
Nb1 Nb 0.0000 0.0000 0.5000
Fe1 Fe 0.0000 0.5000 0.0000
O1 O 0.0000 0.0000 0.2654
O2 O 0.0193 0.5096 0.2579
# formation energy without anion corrections: -1.721 eV/atom
# polymorph energy (0 for the lowest one): 0.0176 eV per atom

3.
# Li2NbFe3O8, relaxed, DFT GGA-PBEsol
data_Li2NbFe3O8
_chemical_formula_sum 'Li8 Nb4 Fe12 O32'
_symmetry_space_group_name_H-M 'P 43 3 2'
_symmetry_Int_Tables_number 212
_symmetry_space_group_name_Hall 'P 4acd 2ab 3'
_cell_length_a 8.109
_cell_length_b 8.109
_cell_length_c 8.109
_cell_angle_alpha 90.00
_cell_angle_beta 90.00
_cell_angle_gamma 90.00
loop_
_atom_site_label
_atom_site_type_symbol
_atom_site_fract_x
_atom_site_fract_y
_atom_site_fract_z
Li1 Li 0.011 0.489 0.511
Nb1 Nb 0.125 0.875 0.375
Fe1 Fe 0.123 0.625 0.127
O1 O 0.104 0.604 0.896
O2 O 0.112 0.886 0.626
# formation energy without anion corrections: -1.739 eV/atom
# polymorph energy (0 for the lowest one): 0.0000 eV per atom

4.
# Li5Nb2Fe3O10, relaxed, DFT GGA-PBEsol
data_Li5Nb2Fe3O10
_chemical_formula_sum 'Li5 Nb2 Fe3 O10'
_symmetry_space_group_name_H-M 'P -1'
_symmetry_Int_Tables_number 2
_symmetry_space_group_name_Hall '-P 1'
_cell_length_a 5.164
_cell_length_b 5.185
_cell_length_c 7.727
_cell_angle_alpha 71.34
_cell_angle_beta 70.67
_cell_angle_gamma 79.86
loop_
_atom_site_label
_atom_site_type_symbol
_atom_site_fract_x
_atom_site_fract_y
_atom_site_fract_z
Li1 Li 0.000 0.000 0.000
Li2 Li 0.076 0.522 0.288
Li3 Li 0.276 0.502 0.907
Nb1 Nb 0.389 0.007 0.214
Fe1 Fe 0.195 0.004 0.581
Fe2 Fe 0.500 0.500 0.500
O1 O 0.064 0.243 0.158
O2 O 0.146 0.731 0.445
O3 O 0.264 0.236 0.749
O4 O 0.363 0.775 0.045
O5 O 0.465 0.258 0.345
# formation energy without anion corrections: -1.909 eV/atom

5.
# Li4Nb3Fe3Sb2O16, relaxed, DFT GGA-PBEsol
data_Li4Nb3Fe3Sb2O16
_chemical_formula_sum 'Li8 Nb6 Fe6 Sb4 O32'
_symmetry_space_group_name_H-M 'C 1 m 1'
_symmetry_Int_Tables_number 8
_symmetry_space_group_name_Hall 'C -2y'
_cell_length_a 10.560
_cell_length_b 6.033
_cell_length_c 10.386
_cell_angle_alpha 90.00
_cell_angle_beta 90.71
_cell_angle_gamma 90.00
loop_
_atom_site_label
_atom_site_type_symbol
_atom_site_fract_x
_atom_site_fract_y
_atom_site_fract_z
Li1 Li 0.000 0.000 0.000
Li2 Li 0.003 0.000 0.484
Li3 Li 0.167 0.500 0.894
Li4 Li 0.332 0.000 0.389
Nb1 Nb 0.325 0.500 0.225
Nb2 Nb 0.410 0.249 0.713
Fe1 Fe 0.078 0.269 0.210
Fe2 Fe 0.166 0.000 0.703
Sb1 Sb 0.146 0.500 0.487
Sb2 Sb 0.319 0.000 0.014
O1 O 0.013 0.500 0.340
O2 O 0.070 0.232 0.594
O3 O 0.154 0.000 0.109
O4 O 0.178 0.500 0.100
O5 O 0.245 0.272 0.327
O6 O 0.256 0.244 0.810
O7 O 0.343 0.000 0.598
O8 O 0.353 0.500 0.598
O9 O 0.416 0.257 0.104
O10 O 0.490 0.000 0.815
O11 O 0.494 0.500 0.306
O12 O 0.495 0.500 0.816
# formation energy without anion corrections: -1.850 eV/atom

6.
# Li4NbFeTe2O12, relaxed, DFT GGA-PBEsol
data_Li4NbFeTe2O12
_chemical_formula_sum 'Li4 Nb1 Fe1 Te2 O12'
_symmetry_space_group_name_H-M 'P 1'
_symmetry_Int_Tables_number 1
_symmetry_space_group_name_Hall 'P 1'
_cell_length_a 5.100
_cell_length_b 5.409
_cell_length_c 7.437
_cell_angle_alpha 85.56
_cell_angle_beta 89.90
_cell_angle_gamma 89.88
loop_
_atom_site_label
_atom_site_type_symbol
_atom_site_fract_x
_atom_site_fract_y
_atom_site_fract_z
Li1 Li 0.000 0.000 0.000
Li2 Li 0.004 0.030 0.539
Li3 Li 0.501 0.357 0.942
Li4 Li 0.508 0.472 0.527
Nb1 Nb 0.504 0.916 0.237
Fe1 Fe 0.004 0.442 0.732
Te1 Te 0.004 0.425 0.229
Te2 Te 0.500 0.917 0.734
O1 O 0.127 0.403 0.987
O2 O 0.185 0.107 0.290
O3 O 0.199 0.737 0.659
O4 O 0.311 0.220 0.670
O5 O 0.321 0.596 0.295
O6 O 0.374 0.924 0.980
O7 O 0.634 0.910 0.484
O8 O 0.672 0.602 0.783
O9 O 0.702 0.228 0.159
O10 O 0.804 0.103 0.787
O11 O 0.827 0.734 0.161
O12 O 0.879 0.405 0.471
# formation energy without anion corrections: -1.689 eV/atom

7.
# Li4Ti2Nb3Fe3O16, relaxed, DFT GGA-PBEsol
data_Li4Ti2Nb3Fe3O16
_chemical_formula_sum 'Li8 Ti4 Nb6 Fe6 O32'
_symmetry_space_group_name_H-M 'C 1 m 1'
_symmetry_Int_Tables_number 8
_symmetry_space_group_name_Hall 'C -2y'
_cell_length_a 9.887
_cell_length_b 5.875
_cell_length_c 9.671
_cell_angle_alpha 90.00
_cell_angle_beta 90.14
_cell_angle_gamma 90.00
loop_
_atom_site_label
_atom_site_type_symbol
_atom_site_fract_x
_atom_site_fract_y
_atom_site_fract_z
Li1 Li 0.000 0.000 0.000
Li2 Li 0.049 0.500 0.437
Li3 Li 0.231 0.000 0.913
Li4 Li 0.396 0.500 0.530
Ti1 Ti 0.028 0.500 0.025
Ti2 Ti 0.219 0.000 0.541
Nb1 Nb 0.203 0.500 0.757
Nb2 Nb 0.283 0.240 0.246
Fe1 Fe 0.076 0.000 0.266
Fe2 Fe 0.478 0.240 0.746
O1 O 0.045 0.500 0.629
O2 O 0.059 0.000 0.645
O3 O 0.124 0.266 0.883
O4 O 0.147 0.230 0.400
O5 O 0.197 0.500 0.135
O6 O 0.206 0.000 0.110
O7 O 0.309 0.249 0.637
O8 O 0.372 0.000 0.370
O9 O 0.387 0.500 0.340
O10 O 0.396 0.500 0.838
O11 O 0.411 0.000 0.859
O12 O 0.455 0.241 0.120
# formation energy without anion corrections: -2.196 eV/atom

8.
# Li4Nb2V3Fe3O16, relaxed, DFT GGA-PBEsol
data_Li4Nb2V3Fe3O16
_chemical_formula_sum 'Li8 Nb4 V6 Fe6 O32'
_symmetry_space_group_name_H-M 'C 1 m 1'
_symmetry_Int_Tables_number 8
_symmetry_space_group_name_Hall 'C -2y'
_cell_length_a 9.805
_cell_length_b 5.770
_cell_length_c 9.790
_cell_angle_alpha 90.00
_cell_angle_beta 90.18
_cell_angle_gamma 90.00
loop_
_atom_site_label
_atom_site_type_symbol
_atom_site_fract_x
_atom_site_fract_y
_atom_site_fract_z
Li1 Li 0.000 0.000 0.000
Li2 Li 0.003 0.000 0.501
Li3 Li 0.168 0.500 0.089
Li4 Li 0.334 0.000 0.589
Nb1 Nb 0.160 0.500 0.494
Nb2 Nb 0.337 0.000 0.989
V1 V 0.318 0.500 0.766
V2 V 0.407 0.236 0.272
Fe1 Fe 0.096 0.264 0.771
Fe2 Fe 0.184 0.000 0.278
O1 O 0.005 0.000 0.190
O2 O 0.018 0.500 0.635
O3 O 0.090 0.240 0.385
O4 O 0.165 0.000 0.901
O5 O 0.173 0.500 0.894
O6 O 0.252 0.278 0.637
O7 O 0.258 0.224 0.151
O8 O 0.338 0.500 0.382
O9 O 0.342 0.000 0.394
O10 O 0.412 0.257 0.894
O11 O 0.484 0.000 0.151
O12 O 0.496 0.500 0.688
# formation energy without anion corrections: -2.081 eV/atom